Material: K2AcV3F12
Method: DFT, PBE with a Hubbard U
State: optimized geometry

Cell lengths 7.7167, 7.7167, 17.4012 Å; angles 90.00, 90.00, 120.00 degrees
With the nearest neighbours (Å) after each atom.
Space group R-3m (No. 166, hexagonal axes)
Asymmetric unit:
K: 0.0000 0.0000 0.1232 [6 per cell]  3 F 2.60
Ac: 0.0000 0.0000 0.5000 [3 per cell]  6 F 2.55
V: 0.0000 0.5000 0.0000 [9 per cell]  6 F 2.05-2.06
F: 0.0262 0.5131 0.8819 [18 per cell]  1 V 2.06
F: 0.0868 0.5434 0.3085 [18 per cell]  2 V 2.05

Size of the total moment: 24.00 Bohr magnetons per cell
D(E_F): 8.9 states/eV/cell
Crystal system: trigonal
Final energy: -320.091 eV per cell